Record 1
A relaxed structure of MnC5IO5. Source: Alexandria via LeMat-Bulk, functional PBE+U.

## Properties
N(E_F): 0.000 states/eV per atom
final energy: -171.2 eV per cell

Unit cell a=6.901 b=6.901 c=11.704 alpha=90.00 beta=90.00 gamma=109.20
Sites, in units of the cell vectors:
Mn  0.147  0.853  0.750
Mn  0.853  0.147  0.250
C  0.031  0.302  0.137
C  0.031  0.302  0.363
C  0.302  0.031  0.637
C  0.302  0.031  0.863
C  0.310  0.690  0.750
C  0.690  0.310  0.250
C  0.698  0.969  0.137
C  0.698  0.969  0.363
C  0.969  0.698  0.637
C  0.969  0.698  0.863
I  0.096  0.904  0.250
I  0.904  0.096  0.750
O  0.143  0.395  0.069
O  0.143  0.395  0.431
O  0.395  0.143  0.569
O  0.395  0.143  0.931
O  0.413  0.587  0.750
O  0.587  0.413  0.250
O  0.605  0.857  0.069
O  0.605  0.857  0.431
O  0.857  0.605  0.569
O  0.857  0.605  0.931

Record 2
A relaxed structure of MnCIO2. Source: Alexandria via LeMat-Bulk, functional PBE+U.

## Properties
N(E_F): 1.254 states/eV per atom
relative energy among the computed polymorphs: 78.0 meV per atom
final energy: -22.6 eV per cell

Unit cell a=3.519 b=3.519 c=6.422 alpha=90.00 beta=90.00 gamma=90.00
Sites, in units of the cell vectors:
Mn  0.000  0.000  0.000
C  0.500  0.500  0.500
I  0.000  0.000  0.500
O  0.000  0.500  0.000
O  0.500  0.000  0.000

Record 3
A relaxed structure of MnCIO2. Source: Alexandria via LeMat-Bulk, functional PBE+U.

## Properties
N(E_F): 0.543 states/eV per atom
relative energy among the computed polymorphs: 0.0 meV per atom
final energy: -23.0 eV per cell

Unit cell a=3.907 b=3.907 c=4.430 alpha=90.00 beta=90.00 gamma=90.00
Sites, in units of the cell vectors:
Mn  0.000  0.000  0.000
C  0.500  0.500  0.500
I  0.500  0.500  0.000
O  0.000  0.500  0.500
O  0.500  0.000  0.500

Number 1: total magnetic moment 0.14 μB/f.u.. Number 2: total magnetic moment 0.00 μB/f.u.. Number 3: total magnetic moment 4.82 μB/f.u..